PaInNi: relaxed, PBE.

Summary:
- VASP energy (eV per cell) = -18.38
- V (Å³ per atom) = 20.30

a = 4.6372 Å, b = 4.6372 Å, c = 3.2702 Å
α = 90.00°, β = 90.00°, γ = 120.00°
Space group P-6m2 (No. 187)
Inequivalent atoms, fractional coordinates:
Pa (0.0000, 0.0000, 0.0000)
In (0.3333, 0.6667, 0.5000)
Ni (0.6667, 0.3333, 0.5000)

Hf2BiAuN: relaxed, PBE.

Summary:
- V (Å³ per atom) = 25.19
- uncorrected formation energy (kJ/mol of atoms) = 149

a = 5.456 Å, b = 5.456 Å, c = 4.230 Å
α = 90.00°, β = 90.00°, γ = 90.00°
Space group P4/mmm (No. 123)
Inequivalent atoms, fractional coordinates:
Hf (0.000, 0.500, 0.000)
Bi (0.000, 0.000, 0.000)
Au (0.500, 0.500, 0.500)
N (0.000, 0.000, 0.500)

Ba2TiTlPt: relaxed, PBE.

Summary:
- VASP energy (eV per cell) = -18.55
- V (Å³ per atom) = 39.45

a = 6.104 Å, b = 6.104 Å, c = 5.294 Å
α = 90.00°, β = 90.00°, γ = 90.00°
Space group P4/mmm (No. 123)
Inequivalent atoms, fractional coordinates:
Ba (0.000, 0.500, 0.000)
Ti (0.000, 0.000, 0.500)
Tl (0.500, 0.500, 0.500)
Pt (0.500, 0.500, 0.000)